1.
The following is a DFT calculation (PBE-GGA) of crystalline Cd2Ag3Au7 at its relaxed geometry.

Results
Its volume is 19.2 Å³ per atom. The calculation puts the energy of formation from the pure elements at -0.01 eV per atom. The value obtained for the density is 13.9 g/cm³. The value obtained for the energy above the lowest structure with this stoichiometry is 35 meV/atom.

```
data_Cd2Ag3Au7
_chemical_formula_sum 'Cd2 Ag3 Au7'
_space_group_name_H-M_alt 'P 1 2/m 1'
_space_group_IT_number 10
_cell_length_a 4.782
_cell_length_b 2.900
_cell_length_c 16.660
_cell_angle_alpha 90.00
_cell_angle_beta 92.67
_cell_angle_gamma 90.00
loop_
_space_group_symop_operation_xyz
'x,y,z'
'-x,-y,-z'
'-x,y,-z'
'x,-y,z'
loop_
_atom_site_label
_atom_site_type_symbol
_atom_site_fract_x
_atom_site_fract_y
_atom_site_fract_z
Cd1 Cd 0.231 0.000 0.293
Ag1 Ag 0.000 0.000 0.000
Ag2 Ag 0.265 0.500 0.618
Au1 Au 0.207 0.500 0.142
Au2 Au 0.243 0.000 0.456
Au3 Au 0.283 0.000 0.803
Au4 Au 0.500 0.500 0.000
```

***

2.
The following is a DFT calculation (PBE-GGA) of crystalline V2BPdRu at its relaxed geometry.

Results
Its volume is 19.5 Å³ per atom. The calculation puts the energy of formation from the pure elements at 1.79 eV per atom. The value obtained for the density is 5.5 g/cm³.

```
data_V2BPdRu
_chemical_formula_sum 'V2 B1 Pd1 Ru1'
_space_group_name_H-M_alt 'P 4/m m m'
_space_group_IT_number 123
_space_group_name_Hall '-P 4 2'
_cell_length_a 4.460
_cell_length_b 4.460
_cell_length_c 4.896
_cell_angle_alpha 90.00
_cell_angle_beta 90.00
_cell_angle_gamma 90.00
loop_
_atom_site_label
_atom_site_type_symbol
_atom_site_fract_x
_atom_site_fract_y
_atom_site_fract_z
V1 V 0.000 0.500 0.000
B1 B 0.000 0.000 0.500
Pd1 Pd 0.500 0.500 0.500
Ru1 Ru 0.500 0.500 0.000
```

***

3.
The following is a DFT calculation (PBE-GGA) of crystalline Ca2UNi9 at its relaxed geometry.

Results
Its volume is 14.3 Å³ per atom. The calculation puts the energy of formation from the pure elements at -0.18 eV per atom. The value obtained for the density is 8.2 g/cm³.

```
data_Ca2UNi9
_chemical_formula_sum 'Ca6 U3 Ni27'
_space_group_name_H-M_alt 'R -3 m'
_space_group_IT_number 166
_space_group_name_Hall '-R 3 2"'
_cell_length_a 4.9232
_cell_length_b 4.9232
_cell_length_c 24.5769
_cell_angle_alpha 90.00
_cell_angle_beta 90.00
_cell_angle_gamma 120.00
loop_
_atom_site_label
_atom_site_type_symbol
_atom_site_fract_x
_atom_site_fract_y
_atom_site_fract_z
Ca1 Ca 0.0000 0.0000 0.1419
U1 U 0.0000 0.0000 0.0000
Ni1 Ni 0.0000 0.0000 0.3328
Ni2 Ni 0.0000 0.0000 0.5000
Ni3 Ni 0.0019 0.5009 0.0803
```

***

4.
The following is a DFT calculation (PBE-GGA) of crystalline KCrAs at its relaxed geometry.

Results
Its volume is 25.3 Å³ per atom. The calculation puts the energy of formation from the pure elements at 0.42 eV per atom. The value obtained for the density is 3.6 g/cm³. The value obtained for the energy above the lowest structure with this stoichiometry is 662 meV/atom.

```
data_KCrAs
_chemical_formula_sum 'K4 Cr4 As4'
_space_group_name_H-M_alt 'F -4 3 m'
_space_group_IT_number 216
_space_group_name_Hall 'F -4 2 3'
_cell_length_a 6.719
_cell_length_b 6.719
_cell_length_c 6.719
_cell_angle_alpha 90.00
_cell_angle_beta 90.00
_cell_angle_gamma 90.00
loop_
_atom_site_label
_atom_site_type_symbol
_atom_site_fract_x
_atom_site_fract_y
_atom_site_fract_z
K1 K 0.000 0.000 0.000
Cr1 Cr 0.250 0.250 0.250
As1 As 0.000 0.000 0.500
```

***

5.
The following is a DFT calculation (PBE-GGA) of crystalline Sn3HgO at its relaxed geometry.

Results
Its volume is 23.4 Å³ per atom. As for the formation energy from raw total energies: -0.21 eV per atom. The value obtained for the density is 8.1 g/cm³. The value obtained for the energy above the lowest structure with this stoichiometry is 0 meV/atom.

```
data_Sn3HgO
_chemical_formula_sum 'Sn3 Hg1 O1'
_space_group_name_H-M_alt 'P m -3 m'
_space_group_IT_number 221
_space_group_name_Hall '-P 4 2 3'
_cell_length_a 4.893
_cell_length_b 4.893
_cell_length_c 4.893
_cell_angle_alpha 90.00
_cell_angle_beta 90.00
_cell_angle_gamma 90.00
loop_
_atom_site_label
_atom_site_type_symbol
_atom_site_fract_x
_atom_site_fract_y
_atom_site_fract_z
Sn1 Sn 0.000 0.000 0.500
Hg1 Hg 0.500 0.500 0.500
O1 O 0.000 0.000 0.000
```

***

6.
The following is a DFT calculation (PBE-GGA) of crystalline PrSe2 at its relaxed geometry.

Results
Its volume is 25.4 Å³ per atom. As for the formation energy from raw total energies: -1.62 eV per atom. The value obtained for the density is 6.5 g/cm³.

```
data_PrSe2
_chemical_formula_sum 'Pr2 Se4'
_space_group_name_H-M_alt 'P 4/n m m'
_space_group_IT_number 129
_cell_length_a 4.185
_cell_length_b 4.185
_cell_length_c 8.689
_cell_angle_alpha 90.00
_cell_angle_beta 90.00
_cell_angle_gamma 90.00
loop_
_space_group_symop_operation_xyz
'x,y,z'
'-x,-y,-z'
'-y+1/2,x,z'
'y+1/2,-x,-z'
'-x+1/2,-y+1/2,z'
'x+1/2,y+1/2,-z'
'y,-x+1/2,z'
'-y,x+1/2,-z'
'x+1/2,-y,-z'
'-x+1/2,y,z'
'-y,-x,-z'
'y,x,z'
'-x,y+1/2,-z'
'x,-y+1/2,z'
'y+1/2,x+1/2,-z'
'-y+1/2,-x+1/2,z'
loop_
_atom_site_label
_atom_site_type_symbol
_atom_site_fract_x
_atom_site_fract_y
_atom_site_fract_z
Pr1 Pr 0.250 0.250 0.226
Se1 Se 0.250 0.250 0.868
Se2 Se 0.250 0.750 0.500
```

***

7.
The following is a DFT calculation (PBE-GGA) of crystalline NdTaH at its relaxed geometry.

Results
Its volume is 17.2 Å³ per atom. The value obtained for the density is 10.5 g/cm³. The calculation puts the electronic total energy at -6.37 eV per atom.

```
data_NdTaH
_chemical_formula_sum 'Nd4 Ta4 H4'
_space_group_name_H-M_alt 'A m m 2'
_space_group_IT_number 38
_cell_length_a 11.421
_cell_length_b 3.344
_cell_length_c 5.395
_cell_angle_alpha 90.00
_cell_angle_beta 90.00
_cell_angle_gamma 90.00
loop_
_space_group_symop_operation_xyz
'x,y,z'
'-x,-y,z'
'-x,y,z'
'x,-y,z'
'x,y+1/2,z+1/2'
'-x,-y+1/2,z+1/2'
'-x,y+1/2,z+1/2'
'x,-y+1/2,z+1/2'
loop_
_atom_site_label
_atom_site_type_symbol
_atom_site_fract_x
_atom_site_fract_y
_atom_site_fract_z
Nd1 Nd 0.152 0.000 0.000
Ta1 Ta 0.386 0.000 0.589
H1 H 0.000 0.000 0.663
H2 H 0.500 0.000 0.918
```

***

8.
The following is a DFT calculation (PBE-GGA) of crystalline ThTlCdPt at its relaxed geometry.

Results
Its volume is 23.6 Å³ per atom. The calculation puts the energy of formation from the pure elements at -0.41 eV per atom. The value obtained for the density is 13.1 g/cm³.

```
data_ThTlCdPt
_chemical_formula_sum 'Th4 Tl4 Cd4 Pt4'
_space_group_name_H-M_alt 'F -4 3 m'
_space_group_IT_number 216
_space_group_name_Hall 'F -4 2 3'
_cell_length_a 7.229
_cell_length_b 7.229
_cell_length_c 7.229
_cell_angle_alpha 90.00
_cell_angle_beta 90.00
_cell_angle_gamma 90.00
loop_
_atom_site_label
_atom_site_type_symbol
_atom_site_fract_x
_atom_site_fract_y
_atom_site_fract_z
Th1 Th 0.000 0.000 0.000
Tl1 Tl 0.250 0.250 0.250
Cd1 Cd 0.000 0.000 0.500
Pt1 Pt 0.250 0.250 0.750
```

***

9.
The following is a DFT calculation (PBE-GGA) of crystalline PmNd12Tl4O3 at its relaxed geometry.

Results
Its volume is 27.3 Å³ per atom. As for the formation energy from raw total energies: -0.74 eV per atom. The value obtained for the density is 8.3 g/cm³.

```
data_PmNd12Tl4O3
_chemical_formula_sum 'Pm2 Nd24 Tl8 O6'
_space_group_name_H-M_alt 'I m -3 m'
_space_group_IT_number 229
_space_group_name_Hall '-I 4 2 3'
_cell_length_a 10.297
_cell_length_b 10.297
_cell_length_c 10.297
_cell_angle_alpha 90.00
_cell_angle_beta 90.00
_cell_angle_gamma 90.00
loop_
_atom_site_label
_atom_site_type_symbol
_atom_site_fract_x
_atom_site_fract_y
_atom_site_fract_z
Pm1 Pm 0.000 0.000 0.000
Nd1 Nd 0.000 0.000 0.273
Nd2 Nd 0.000 0.250 0.500
Tl1 Tl 0.250 0.250 0.250
O1 O 0.000 0.000 0.500
```

***

10.
The following is a DFT calculation (PBE-GGA) of crystalline LiHI3 at its relaxed geometry.

Results
Its volume is 29.4 Å³ per atom. The value obtained for the density is 4.4 g/cm³. The value obtained for the energy above the lowest structure with this stoichiometry is 679 meV/atom.

```
data_LiHI3
_chemical_formula_sum 'Li1 H1 I3'
_space_group_name_H-M_alt 'P m -3 m'
_space_group_IT_number 221
_space_group_name_Hall '-P 4 2 3'
_cell_length_a 5.277
_cell_length_b 5.277
_cell_length_c 5.277
_cell_angle_alpha 90.00
_cell_angle_beta 90.00
_cell_angle_gamma 90.00
loop_
_atom_site_label
_atom_site_type_symbol
_atom_site_fract_x
_atom_site_fract_y
_atom_site_fract_z
Li1 Li 0.000 0.000 0.000
H1 H 0.500 0.500 0.500
I1 I 0.000 0.500 0.500
```

***

11.
The following is a DFT calculation (PBE-GGA) of crystalline MgIO3 at its relaxed geometry.

Results
Its volume is 11.6 Å³ per atom. As for the formation energy from raw total energies: -0.44 eV per atom. The value obtained for the density is 5.7 g/cm³.

```
data_MgIO3
_chemical_formula_sum 'Mg1 I1 O3'
_space_group_name_H-M_alt 'P m -3 m'
_space_group_IT_number 221
_space_group_name_Hall '-P 4 2 3'
_cell_length_a 3.869
_cell_length_b 3.869
_cell_length_c 3.869
_cell_angle_alpha 90.00
_cell_angle_beta 90.00
_cell_angle_gamma 90.00
loop_
_atom_site_label
_atom_site_type_symbol
_atom_site_fract_x
_atom_site_fract_y
_atom_site_fract_z
Mg1 Mg 0.000 0.000 0.000
I1 I 0.500 0.500 0.500
O1 O 0.000 0.000 0.500
```

***

12.
The following is a DFT calculation (PBE-GGA) of crystalline Ag2RuBr at its relaxed geometry.

Results
Its volume is 18.1 Å³ per atom. As for the formation energy from raw total energies: 0.68 eV per atom. The value obtained for the density is 9.1 g/cm³. The value obtained for the energy above the lowest structure with this stoichiometry is 206 meV/atom.

```
data_Ag2RuBr
_chemical_formula_sum 'Ag2 Ru1 Br1'
_space_group_name_H-M_alt 'P m m m'
_space_group_IT_number 47
_cell_length_a 3.086
_cell_length_b 4.633
_cell_length_c 5.063
_cell_angle_alpha 90.00
_cell_angle_beta 90.00
_cell_angle_gamma 90.00
loop_
_space_group_symop_operation_xyz
'x,y,z'
'-x,-y,-z'
'-x,-y,z'
'x,y,-z'
'x,-y,-z'
'-x,y,z'
'-x,y,-z'
'x,-y,z'
loop_
_atom_site_label
_atom_site_type_symbol
_atom_site_fract_x
_atom_site_fract_y
_atom_site_fract_z
Ag1 Ag 0.000 0.000 0.000
Ag2 Ag 0.500 0.500 0.000
Ru1 Ru 0.000 0.500 0.500
Br1 Br 0.500 0.000 0.500
```